MnAsCl2 after structural relaxation. Source: Alexandria, functional PBE-GGA.

Computed properties:
The density is 3.0 g/cm3. As for the magnetic moment: 4.90 μB/f.u. The polymorph energy (0 for the lowest one) is 262 meV per atom.

Lattice parameters (Å, degrees): 3.5136 5.4151 11.6949 90.00 90.00 90.00
Closest atoms and distances in Å follow each position.
Space group Cmmm (No. 65)
One atom of each set of equivalent atoms:
Mn: 0.0000 0.0000 0.0000 (multiplicity 2)  4 Cl 2.41
As: 0.0000 0.0000 0.5000 (multiplicity 2)  6 As 3.23-3.51
Cl: 0.0000 0.5000 0.1415 (multiplicity 4)  2 Mn 2.41

Y4MnBr after structural relaxation. Source: Alexandria, functional PBE-GGA.

Computed properties:
The density is 4.3 g/cm3. As for the magnetic moment: 3.90 μB/f.u.

Lattice parameters (Å, degrees): 9.1353 9.1353 9.1353 90.00 90.00 90.00
Closest atoms and distances in Å follow each position.
Space group F-43m (No. 216)
One atom of each set of equivalent atoms:
Y: 0.1230 0.1230 0.3770 (multiplicity 16)  6 Y 3.18-3.28
Mn: 0.2500 0.2500 0.7500 (multiplicity 4)  12 Y 3.78, 4 Br 3.96
Br: 0.0000 0.0000 0.0000 (multiplicity 4)  12 Y 3.79, 4 Mn 3.96

Pa2AlSi3Rh4 after structural relaxation. Source: Alexandria, functional PBE-GGA.

Computed properties:
The density is 9.7 g/cm3. As for the magnetic moment: 0.00 μB/f.u.

Lattice parameters (Å, degrees): 4.0634 4.0634 10.1980 90.00 90.00 90.00
Closest atoms and distances in Å follow each position.
Space group P-4m2 (No. 115)
One atom of each set of equivalent atoms:
Pa: 0.0000 0.5000 0.2489 (multiplicity 2)  8 Rh 3.10-3.25, 6 Si 3.12-3.27, 2 Al 3.27
Al: 0.0000 0.0000 0.5000 (multiplicity 1)  4 Rh 2.47
Si: 0.0000 0.5000 0.8702 (multiplicity 2)  5 Rh 2.37-2.42
Si: 0.5000 0.5000 0.5000 (multiplicity 1)  4 Rh 2.47
Rh: 0.0000 0.0000 0.0000 (multiplicity 1)  4 Si 2.42
Rh: 0.0000 0.5000 0.6380 (multiplicity 2)  3 Si 2.37-2.47, 2 Al 2.47
Rh: 0.5000 0.5000 0.0000 (multiplicity 1)  4 Si 2.42

DyEr2Rh2 after structural relaxation. Source: Alexandria, functional PBE-GGA.

Computed properties:
The density is 10.0 g/cm3. As for the magnetic moment: 0.00 μB/f.u. The polymorph energy (0 for the lowest one) is 0 meV per atom. For the formation energy from the elements, the calculation gives -0.754 eV/atom.

Lattice parameters (Å, degrees): 4.7484 4.7484 5.9754 90.00 90.00 120.00
Closest atoms and distances in Å follow each position.
Space group P-3m1 (No. 164)
One atom of each set of equivalent atoms:
Dy: 0.0000 0.0000 0.0000 (multiplicity 1)  6 Rh 2.92
Er: 0.3333 0.6667 0.6644 (multiplicity 2)  5 Rh 2.92-3.01
Rh: 0.3333 0.6667 0.1687 (multiplicity 2)  5 Er 2.92-3.01, 3 Dy 2.92

MgSn3Ge after structural relaxation. Source: Alexandria, functional PBE-GGA.

Computed properties:
The density is 4.9 g/cm3. As for the magnetic moment: 0.00 μB/f.u. The polymorph energy (0 for the lowest one) is 159 meV per atom. For the formation energy from the elements, the calculation gives 0.628 eV/atom.

Lattice parameters (Å, degrees): 5.3492 5.3492 5.3492 90.00 90.00 90.00
Closest atoms and distances in Å follow each position.
Space group Pm-3m (No. 221)
One atom of each set of equivalent atoms:
Mg: 0.0000 0.0000 0.0000 (multiplicity 1)  6 Sn 2.67
Sn: 0.0000 0.0000 0.5000 (multiplicity 3)  2 Mg 2.67
Ge: 0.5000 0.5000 0.5000 (multiplicity 1)  12 Sn 3.78

MgCu6 after structural relaxation. Source: Alexandria, functional PBE-GGA.

Computed properties:
The density is 7.1 g/cm3. As for the magnetic moment: 0.00 μB/f.u. The polymorph energy (0 for the lowest one) is 0 meV per atom. For the formation energy from the elements, the calculation gives 0.018 eV/atom.

Lattice parameters (Å, degrees): 7.8726 4.8667 9.9037 90.00 90.00 90.00
Closest atoms and distances in Å follow each position.
Space group Pnma (No. 62)
One atom of each set of equivalent atoms:
Mg: 0.2420 0.2500 0.0669 (multiplicity 4)  12 Cu 2.75-3.06
Cu: 0.0600 0.7500 0.0845 (multiplicity 4)  6 Cu 2.42-2.70
Cu: 0.0623 0.0074 0.3074 (multiplicity 8)  9 Cu 2.36-2.60
Cu: 0.1062 0.2500 0.5197 (multiplicity 4)  7 Cu 2.44-2.70
Cu: 0.1477 0.7500 0.8500 (multiplicity 4)  8 Cu 2.42-2.61
Cu: 0.1873 0.2500 0.7605 (multiplicity 4)  9 Cu 2.38-2.64

Er6SbSe4 after structural relaxation. Source: Alexandria, functional PBE-GGA.

Computed properties:
The density is 8.8 g/cm3. As for the magnetic moment: 0.00 μB/f.u.

Lattice parameters (Å, degrees): 4.0204 13.1388 20.6538 90.00 90.00 90.00
Closest atoms and distances in Å follow each position.
Space group Cmcm (No. 63)
One atom of each set of equivalent atoms:
Er: 0.0000 0.0000 0.0000 (multiplicity 4)  6 Se 2.77-2.86
Er: 0.0000 0.1503 0.2500 (multiplicity 4)  2 Se 2.76, 2 Sb 3.04
Er: 0.0000 0.2690 0.5979 (multiplicity 8)  5 Se 2.84-3.00
Er: 0.0000 0.4452 0.1647 (multiplicity 8)  3 Se 2.85-2.90, 2 Sb 3.11
Sb: 0.0000 0.1763 0.7500 (multiplicity 4)  8 Er 3.04-3.37
Se: 0.0000 0.0841 0.1232 (multiplicity 8)  6 Er 2.76-2.85
Se: 0.0000 0.3563 0.0360 (multiplicity 8)  6 Er 2.86-3.00

Pm2BrNO after structural relaxation. Source: Alexandria, functional PBE-GGA.

Computed properties:
The density is 6.1 g/cm3. As for the magnetic moment: 0.00 μB/f.u.

Lattice parameters (Å, degrees): 13.4131 3.9847 10.0423 90.00 126.07 90.00
Closest atoms and distances in Å follow each position.
Space group C2/m (No. 12)
One atom of each set of equivalent atoms:
Pm: 0.0565 0.0000 0.2958 (multiplicity 4)  1 N 2.19, 2 O 2.30
Pm: 0.1648 0.5000 0.0494 (multiplicity 4)  3 N 2.33-2.42, 2 O 2.45-2.54
Br: 0.1656 0.5000 0.6035 (multiplicity 4)  5 Pm 3.21-3.46, 3 O 3.55
N: 0.1392 0.0000 0.9120 (multiplicity 4)  4 Pm 2.19-2.42
O: 0.0636 0.5000 0.1878 (multiplicity 4)  4 Pm 2.30-2.54

AcPmPrHo after structural relaxation. Source: Alexandria, functional PBE-GGA.

Computed properties:
The density is 7.7 g/cm3. As for the magnetic moment: 0.00 μB/f.u. The polymorph energy (0 for the lowest one) is 68 meV per atom. For the formation energy from the elements, the calculation gives 0.122 eV/atom.

Lattice parameters (Å, degrees): 8.3628 8.3628 8.3628 90.00 90.00 90.00
Closest atoms and distances in Å follow each position.
Space group F-43m (No. 216)
One atom of each set of equivalent atoms:
Ac: 0.0000 0.0000 0.0000 (multiplicity 4)  4 Pm 3.62, 4 Ho 3.62
Pm: 0.2500 0.2500 0.2500 (multiplicity 4)  4 Pr 3.62, 4 Ac 3.62
Pr: 0.0000 0.0000 0.5000 (multiplicity 4)  4 Ho 3.62, 4 Pm 3.62
Ho: 0.2500 0.2500 0.7500 (multiplicity 4)  4 Ac 3.62, 4 Pr 3.62

Dy7Tm after structural relaxation. Source: Alexandria, functional PBE-GGA.

Computed properties:
The density is 8.7 g/cm3. As for the magnetic moment: 0.00 μB/f.u. The polymorph energy (0 for the lowest one) is 23 meV per atom. For the formation energy from the elements, the calculation gives 0.043 eV/atom.

Lattice parameters (Å, degrees): 3.5125 11.0364 12.8910 90.00 90.00 90.00
Closest atoms and distances in Å follow each position.
Space group Immm (No. 71)
One atom of each set of equivalent atoms:
Dy: 0.0000 0.0000 0.0000 (multiplicity 2)  12 Dy 3.35-3.55
Dy: 0.0000 0.0000 0.2598 (multiplicity 4)  9 Dy 3.26-3.52, 2 Tm 3.56
Dy: 0.0000 0.2674 0.3677 (multiplicity 8)  10 Dy 3.26-3.55
Tm: 0.0000 0.5000 0.0000 (multiplicity 2)  2 Tm 3.51, 12 Dy 3.56-3.83

TaBe2Sb after structural relaxation. Source: Alexandria, functional PBE-GGA.

Computed properties:
The density is 8.0 g/cm3. As for the magnetic moment: 0.00 μB/f.u.

Lattice parameters (Å, degrees): 2.8873 2.8873 7.9805 90.00 90.00 90.00
Closest atoms and distances in Å follow each position.
Space group P4/mmm (No. 123)
One atom of each set of equivalent atoms:
Ta: 0.0000 0.0000 0.0000 (multiplicity 1)  8 Be 2.64, 4 Ta 2.89
Be: 0.5000 0.5000 0.2094 (multiplicity 2)  4 Ta 2.64, 4 Be 2.89
Sb: 0.0000 0.0000 0.5000 (multiplicity 1)  4 Sb 2.89, 8 Be 3.09

HgMo2Pb after structural relaxation. Source: Alexandria, functional PBE-GGA.

Computed properties:
The density is 11.8 g/cm3. As for the magnetic moment: 0.00 μB/f.u. The polymorph energy (0 for the lowest one) is 221 meV per atom. For the formation energy from the elements, the calculation gives 0.617 eV/atom.

Lattice parameters (Å, degrees): 3.2093 4.9729 10.5364 90.00 90.00 90.00
Closest atoms and distances in Å follow each position.
Space group Imm2 (No. 44)
One atom of each set of equivalent atoms:
Hg: 0.0000 0.0000 0.0000 (multiplicity 2)  6 Mo 3.01-3.33, 2 Hg 3.21
Mo: 0.0000 0.0000 0.4484 (multiplicity 2)  2 Mo 2.42
Mo: 0.0000 0.5000 0.7765 (multiplicity 2)  2 Mo 2.42
Pb: 0.0000 0.5000 0.2170 (multiplicity 2)  6 Mo 3.03-3.25, 2 Pb 3.21, 4 Hg 3.38-3.39

| no. | VASP energy (eV/f.u.) | D(E_F) (states/eV per cell) | volume (Å³ per cell) |
| --- | --- | --- | --- |
| 1 | -18.15 | 4.3 | 222.5 |
| 2 | -33.26 | 35.0 | 762.4 |
| 3 | -78.03 | 7.1 | 168.4 |
| 4 | -32.20 | 3.2 | 116.7 |
| 5 | -15.08 | 4.7 | 153.1 |
| 6 | -26.04 | 11.0 | 379.4 |
| 7 | -61.24 | 34.3 | 1091.0 |
| 8 | -35.65 | 0.0 | 433.8 |
| 9 | -17.73 | 31.8 | 584.9 |
| 10 | -36.35 | 25.7 | 499.7 |
| 11 | -21.45 | 1.9 | 66.5 |
| 12 | -23.20 | 4.7 | 168.2 |